(1)
An optimized crystal structure of Sr2Ga4Pd3Pb. Source: Alexandria via LeMat-Bulk, functional PBE.

Computed properties:
Formation enthalpy at 0 K in kJ per mole of atoms: -56.77
Crystal system: tetragonal

Geometry as POSCAR:
```
Sr2Ga4Pd3Pb
1.0
4.452 0.000 0.000
0.000 4.452 0.000
0.000 0.000 11.048
Sr Ga Pd Pb
2 4 3 1
Direct
0.000 0.500 0.239
0.500 0.000 0.761
0.000 0.000 0.000
0.000 0.500 0.654
0.500 0.000 0.346
0.500 0.500 0.000
0.000 0.500 0.882
0.500 0.000 0.118
0.500 0.500 0.500
0.000 0.000 0.500
```


(2)
An optimized crystal structure of KGeTe3Pb. Source: Alexandria via LeMat-Bulk, functional PBE.

Computed properties:
Raw formation energy in meV/atom: -423
Crystal system: monoclinic

Geometry as POSCAR:
```
KGeTe3Pb
1.0
9.173 0.000 0.000
0.000 4.989 0.000
-2.578 0.000 9.836
K Ge Te Pb
2 2 6 2
Direct
0.242 0.250 0.252
0.758 0.750 0.748
0.100 0.250 0.620
0.900 0.750 0.380
0.055 0.250 0.866
0.192 0.750 0.549
0.496 0.250 0.798
0.504 0.750 0.202
0.808 0.250 0.451
0.945 0.750 0.134
0.323 0.750 0.898
0.677 0.250 0.102
```


E_tot readings, ordered: -40.64; -42.77 eV/cell